# PrNd2HoS4

A relaxed structure of PrNd2HoS4 (PBE, Alexandria).

Cell lengths 6.9998, 3.9869, 7.0382 Å; angles 90.00, 108.88, 90.00 degrees
Closest atoms and distances in Å follow each position.
Element x y z (fractional)
Pr  0.0000  0.0000  0.0000  6 S 2.87
Nd  0.5000  0.0000  0.5000  6 S 2.84
Nd  0.5000  0.5000  0.0000  6 S 2.93
Ho  0.0000  0.5000  0.5000  6 S 2.78
S  0.2383  0.0000  0.7363  2 Ho 2.78, 3 Nd 2.84-2.93, 1 Pr 2.87
S  0.2457  0.5000  0.2586  1 Ho 2.78, 3 Nd 2.84-2.93, 2 Pr 2.87
S  0.7543  0.5000  0.7414  1 Ho 2.78, 3 Nd 2.84-2.93, 2 Pr 2.87
S  0.7617  0.0000  0.2637  2 Ho 2.78, 3 Nd 2.84-2.93, 1 Pr 2.87

Output
The value obtained for the density of states at the Fermi level is 4.660 states/eV/f.u. The calculation puts the uncorrected formation energy at -2.0036 eV per atom. As for the space group: No. 10.